Nb2Si3Ni5H2: relaxed, PBE.

The space group is I4/mmm (No. 139) and the conventional cell measures 3.5987, 3.5987 and 20.0775 Å, with angles of 90.00, 90.00 and 90.00 degrees. Symmetry generates all atoms from Nb at (0.0000, 0.0000, 0.2021), Si at (0.0000, 0.0000, 0.3334), Si at (0.0000, 0.0000, 0.5000), Ni at (0.0000, 0.0000, 0.0000), Ni at (0.0000, 0.5000, 0.0885) and H at (0.0000, 0.0000, 0.0877).

For the volume, the calculation gives 10.83 Å³/atom. For the uncorrected energy, the calculation gives -6.4911 eV/atom.


TaNbNi2H: relaxed, PBE.

The space group is P4/mmm (No. 123) and the conventional cell measures 3.8541, 3.8541 and 4.0224 Å, with angles of 90.00, 90.00 and 90.00 degrees. Symmetry generates all atoms from Ta at (0.0000, 0.0000, 0.0000), Nb at (0.5000, 0.5000, 0.0000), Ni at (0.0000, 0.5000, 0.5000) and H at (0.5000, 0.5000, 0.5000).

For the volume, the calculation gives 11.95 Å³/atom. As for the energy relative to the lowest polymorph listed for this composition: 0 meV per atom.


Ta2NbNiH: relaxed, PBE.

The space group is P4/mmm (No. 123) and the conventional cell measures 4.2491, 4.2491 and 3.8098 Å, with angles of 90.00, 90.00 and 90.00 degrees. Symmetry generates all atoms from Ta at (0.0000, 0.5000, 0.0000), Nb at (0.0000, 0.0000, 0.5000), Ni at (0.5000, 0.5000, 0.5000) and H at (0.0000, 0.0000, 0.0000).

For the volume, the calculation gives 13.76 Å³/atom. As for the energy relative to the lowest polymorph listed for this composition: 118 meV per atom.


TaNbNi2H: relaxed, PBE.

The space group is P4/mmm (No. 123) and the conventional cell measures 3.8563, 3.8563 and 4.0235 Å, with angles of 90.00, 90.00 and 90.00 degrees. Symmetry generates all atoms from Ta at (0.0000, 0.0000, 0.0000), Nb at (0.5000, 0.5000, 0.0000), Ni at (0.0000, 0.5000, 0.5000) and H at (0.0000, 0.0000, 0.5000).

For the volume, the calculation gives 11.97 Å³/atom. As for the energy relative to the lowest polymorph listed for this composition: 16 meV per atom.


Ta2NbNiH: relaxed, PBE.

The space group is P4/mmm (No. 123) and the conventional cell measures 4.4100, 4.4100 and 3.4622 Å, with angles of 90.00, 90.00 and 90.00 degrees. Symmetry generates all atoms from Ta at (0.0000, 0.5000, 0.0000), Nb at (0.0000, 0.0000, 0.5000), Ni at (0.5000, 0.5000, 0.5000) and H at (0.5000, 0.5000, 0.0000).

For the volume, the calculation gives 13.47 Å³/atom. As for the energy relative to the lowest polymorph listed for this composition: 0 meV per atom.


NbTcNi2H: relaxed, PBE.

The space group is P4/mmm (No. 123) and the conventional cell measures 3.7509, 3.7509 and 3.9769 Å, with angles of 90.00, 90.00 and 90.00 degrees. Symmetry generates all atoms from Nb at (0.0000, 0.0000, 0.0000), Tc at (0.5000, 0.5000, 0.0000), Ni at (0.0000, 0.5000, 0.5000) and H at (0.5000, 0.5000, 0.5000).

For the volume, the calculation gives 11.19 Å³/atom. As for the energy relative to the lowest polymorph listed for this composition: 0 meV per atom.


Nb2TcNiH: relaxed, PBE.

The space group is P4/mmm (No. 123) and the conventional cell measures 4.3023, 4.3023 and 3.4569 Å, with angles of 90.00, 90.00 and 90.00 degrees. Symmetry generates all atoms from Nb at (0.0000, 0.5000, 0.0000), Tc at (0.0000, 0.0000, 0.5000), Ni at (0.5000, 0.5000, 0.5000) and H at (0.5000, 0.5000, 0.0000).

For the volume, the calculation gives 12.80 Å³/atom. As for the energy relative to the lowest polymorph listed for this composition: 0 meV per atom.


NbTcNi2H: relaxed, PBE.

The space group is P4/mmm (No. 123) and the conventional cell measures 3.6923, 3.6923 and 4.1247 Å, with angles of 90.00, 90.00 and 90.00 degrees. Symmetry generates all atoms from Nb at (0.0000, 0.0000, 0.0000), Tc at (0.5000, 0.5000, 0.0000), Ni at (0.0000, 0.5000, 0.5000) and H at (0.0000, 0.0000, 0.5000).

For the volume, the calculation gives 11.25 Å³/atom. As for the energy relative to the lowest polymorph listed for this composition: 53 meV per atom.


Nb2TcNiH: relaxed, PBE.

The space group is P4/mmm (No. 123) and the conventional cell measures 4.1424, 4.1424 and 3.7701 Å, with angles of 90.00, 90.00 and 90.00 degrees. Symmetry generates all atoms from Nb at (0.0000, 0.5000, 0.0000), Tc at (0.0000, 0.0000, 0.5000), Ni at (0.5000, 0.5000, 0.5000) and H at (0.0000, 0.0000, 0.0000).

For the volume, the calculation gives 12.94 Å³/atom. As for the energy relative to the lowest polymorph listed for this composition: 88 meV per atom.


TiNb2NiH: relaxed, PBE.

The space group is P4/mmm (No. 123) and the conventional cell measures 4.0813, 4.0813 and 4.0174 Å, with angles of 90.00, 90.00 and 90.00 degrees. Symmetry generates all atoms from Ti at (0.0000, 0.0000, 0.0000), Nb at (0.0000, 0.5000, 0.5000), Ni at (0.5000, 0.5000, 0.0000) and H at (0.0000, 0.0000, 0.5000).

For the volume, the calculation gives 13.38 Å³/atom. As for the energy relative to the lowest polymorph listed for this composition: 26 meV per atom.


TiNb2NiH: relaxed, PBE.

The space group is P4/mmm (No. 123) and the conventional cell measures 4.2893, 4.2893 and 3.5673 Å, with angles of 90.00, 90.00 and 90.00 degrees. Symmetry generates all atoms from Ti at (0.0000, 0.0000, 0.0000), Nb at (0.0000, 0.5000, 0.5000), Ni at (0.5000, 0.5000, 0.0000) and H at (0.5000, 0.5000, 0.5000).

For the volume, the calculation gives 13.13 Å³/atom. As for the energy relative to the lowest polymorph listed for this composition: 0 meV per atom.


NbVNi2H: relaxed, PBE.

The space group is P4/mmm (No. 123) and the conventional cell measures 3.6759, 3.6759 and 4.0754 Å, with angles of 90.00, 90.00 and 90.00 degrees. Symmetry generates all atoms from Nb at (0.0000, 0.0000, 0.0000), V at (0.5000, 0.5000, 0.0000), Ni at (0.0000, 0.5000, 0.5000) and H at (0.0000, 0.0000, 0.5000).

For the volume, the calculation gives 11.01 Å³/atom. As for the energy relative to the lowest polymorph listed for this composition: 24 meV per atom.